SrHf3Pd: optimized geometry, PBE.

Results
Offset from the most stable computed form in meV per atom: 1682
M_tot in μB/atom: 0.000
Total DFT energy (no corrections) in eV/atom: -5.23

Cell: 5.0543 5.0543 5.0543 Å, 90.00 90.00 90.00°
Atoms (fractional coordinates):
Sr (0.0000, 0.0000, 0.0000)
Hf (0.0000, 0.0000, 0.5000)
Hf (0.0000, 0.5000, 0.0000)
Hf (0.5000, 0.0000, 0.0000)
Pd (0.5000, 0.5000, 0.5000)

PrYScAg: optimized geometry, PBE.

Results
M_tot in μB/atom: 0.000
Total DFT energy (no corrections) in eV/atom: -5.07

Cell: 7.5806 7.5806 7.5806 Å, 90.00 90.00 90.00°
Atoms (fractional coordinates):
Pr (0.0000, 0.0000, 0.0000)
Pr (0.0000, 0.5000, 0.5000)
Pr (0.5000, 0.0000, 0.5000)
Pr (0.5000, 0.5000, 0.0000)
Y (0.0000, 0.0000, 0.5000)
Y (0.0000, 0.5000, 0.0000)
Y (0.5000, 0.0000, 0.0000)
Y (0.5000, 0.5000, 0.5000)
Sc (0.2500, 0.2500, 0.2500)
Sc (0.2500, 0.7500, 0.7500)
Sc (0.7500, 0.2500, 0.7500)
Sc (0.7500, 0.7500, 0.2500)
Ag (0.2500, 0.2500, 0.7500)
Ag (0.2500, 0.7500, 0.2500)
Ag (0.7500, 0.2500, 0.2500)
Ag (0.7500, 0.7500, 0.7500)

YZn3GaPd: optimized geometry, PBE.

Results
M_tot in μB/atom: 0.000
Total DFT energy (no corrections) in eV/atom: -3.36

Cell: 7.1862 7.1862 5.5075 Å, 90.00 90.00 128.15°
Atoms (fractional coordinates):
Y (0.2070, 0.7930, 0.7500)
Y (0.7930, 0.2070, 0.2500)
Zn (0.1949, 0.1949, 0.0000)
Zn (0.1949, 0.1949, 0.5000)
Zn (0.3608, 0.6392, 0.2500)
Zn (0.6392, 0.3608, 0.7500)
Zn (0.8051, 0.8051, 0.0000)
Zn (0.8051, 0.8051, 0.5000)
Ga (0.4251, 0.5749, 0.7500)
Ga (0.5749, 0.4251, 0.2500)
Pd (0.1586, 0.8414, 0.2500)
Pd (0.8414, 0.1586, 0.7500)

CrIn3Re: optimized geometry, PBE.

Results
Offset from the most stable computed form in meV per atom: 780
M_tot in μB/atom: 0.409
Total DFT energy (no corrections) in eV/atom: -4.38

Cell: 4.9592 4.9592 4.9592 Å, 90.00 90.00 90.00°
Atoms (fractional coordinates):
Cr (0.0000, 0.0000, 0.0000)
In (0.0000, 0.0000, 0.5000)
In (0.0000, 0.5000, 0.0000)
In (0.5000, 0.0000, 0.0000)
Re (0.5000, 0.5000, 0.5000)

NdMnB: optimized geometry, PBE.

Results
M_tot in μB/atom: 0.526
Total DFT energy (no corrections) in eV/atom: -7.09

Cell: 3.5577 3.5577 8.4585 Å, 90.00 90.00 90.00°
Atoms (fractional coordinates):
Nd (0.2500, 0.2500, 0.1994)
Nd (0.7500, 0.7500, 0.8006)
Mn (0.2500, 0.7500, 0.5000)
Mn (0.7500, 0.2500, 0.5000)
B (0.2500, 0.2500, 0.6327)
B (0.7500, 0.7500, 0.3673)

Cs2HfHgSe: optimized geometry, PBE.

Results
E_form (uncorrected) in eV/f.u.: 2.87
M_tot in μB/atom: 0.000
Total DFT energy (no corrections) in eV/atom: -2.51

Cell: 6.7105 6.7105 5.4827 Å, 90.00 90.00 90.00°
Atoms (fractional coordinates):
Cs (0.0000, 0.5000, 0.0000)
Cs (0.5000, 0.0000, 0.0000)
Hf (0.0000, 0.0000, 0.5000)
Hg (0.0000, 0.0000, 0.0000)
Se (0.5000, 0.5000, 0.5000)

Ti2HPdRu: optimized geometry, PBE.

Results
Offset from the most stable computed form in meV per atom: 0
M_tot in μB/atom: 0.000
Total DFT energy (no corrections) in eV/atom: -7.19

Cell: 4.1470 4.1470 3.6676 Å, 90.00 90.00 90.00°
Atoms (fractional coordinates):
Ti (0.0000, 0.5000, 0.0000)
Ti (0.5000, 0.0000, 0.0000)
H (0.0000, 0.0000, 0.0000)
Pd (0.5000, 0.5000, 0.5000)
Ru (0.0000, 0.0000, 0.5000)

BeAuCl2: optimized geometry, PBE.

Results
Offset from the most stable computed form in meV per atom: 318
E_form (uncorrected) in eV/f.u.: -1.27
M_tot in μB/atom: 0.001
Total DFT energy (no corrections) in eV/atom: -2.99

Cell: 3.2047 3.2047 25.3768 Å, 90.00 90.00 120.00°
Atoms (fractional coordinates):
Be (0.0000, 0.0000, 0.0000)
Be (0.3333, 0.6667, 0.6667)
Be (0.6667, 0.3333, 0.3333)
Au (0.0000, 0.0000, 0.7355)
Au (0.3333, 0.6667, 0.4022)
Au (0.6667, 0.3333, 0.0688)
Cl (0.0000, 0.0000, 0.2867)
Cl (0.0000, 0.0000, 0.4831)
Cl (0.3333, 0.6667, 0.1498)
Cl (0.3333, 0.6667, 0.9534)
Cl (0.6667, 0.3333, 0.6200)
Cl (0.6667, 0.3333, 0.8165)